(1)
A plane-wave DFT calculation with GGA-PBE was carried out for a geometry-optimized Zr2CuSi3Ir4 structure.

Computed properties:
SG ... P-4m2 (115)
Total DFT energy (no corrections) ... -8.052 eV per atom
DOS(E_F) ... 4.6 states/eV/f.u.

Cell lengths 4.039, 4.039, 9.843 Å; angles 90.00, 90.00, 90.00 degrees
Fractional coordinates of all 10 atoms:
Zr 0.000 0.500 0.246
Zr 0.500 0.000 0.754
Cu 0.500 0.500 0.000
Si 0.000 0.000 0.000
Si 0.000 0.500 0.633
Si 0.500 0.000 0.367
Ir 0.000 0.000 0.500
Ir 0.000 0.500 0.865
Ir 0.500 0.000 0.135
Ir 0.500 0.500 0.500

=====

(2)
A plane-wave DFT calculation with GGA-PBE was carried out for a geometry-optimized RePdSe2N structure.

Computed properties:
SG ... P4/mmm (123)
Total DFT energy (no corrections) ... -5.121 eV per atom
DOS(E_F) ... 4.0 states/eV/f.u.
Offset from the most stable computed form ... 23.08 kcal/mol of atoms

Cell lengths 5.102, 5.102, 3.628 Å; angles 90.00, 90.00, 90.00 degrees
Fractional coordinates of all 5 atoms:
Re 0.000 0.000 0.000
Pd 0.500 0.500 0.500
Se 0.000 0.500 0.500
Se 0.500 0.000 0.500
N 0.500 0.500 0.000

=====

(3)
A plane-wave DFT calculation with GGA-PBE was carried out for a geometry-optimized KBa4Mn structure.

Computed properties:
ΔH_f (0 K) ... 0.663 eV/atom
SG ... F-43m (216)
Total DFT energy (no corrections) ... -2.330 eV per atom
DOS(E_F) ... 12.0 states/eV/f.u.

Cell lengths 7.913, 7.913, 7.913 Å; angles 60.00, 60.00, 60.00 degrees
Fractional coordinates of all 6 atoms:
K 0.000 0.000 0.000
Ba 0.376 0.376 0.376
Ba 0.376 0.376 0.871
Ba 0.376 0.871 0.376
Ba 0.871 0.376 0.376
Mn 0.750 0.750 0.750

=====

(4)
A plane-wave DFT calculation with GGA-PBE was carried out for a geometry-optimized CrGa3Se structure.

Computed properties:
SG ... Pm-3m (221)
Total DFT energy (no corrections) ... -4.060 eV per atom
DOS(E_F) ... 3.8 states/eV/f.u.
Offset from the most stable computed form ... 0.00 kcal/mol of atoms

Cell lengths 4.897, 4.897, 4.897 Å; angles 90.00, 90.00, 90.00 degrees
Fractional coordinates of all 5 atoms:
Cr 0.000 0.000 0.000
Ga 0.000 0.000 0.500
Ga 0.000 0.500 0.000
Ga 0.500 0.000 0.000
Se 0.500 0.500 0.500

=====

(5)
A plane-wave DFT calculation with GGA-PBE was carried out for a geometry-optimized Li3ErU2Te6 structure.

Computed properties:
SG ... C2/m (12)
Total DFT energy (no corrections) ... -5.230 eV per atom
DOS(E_F) ... 11.8 states/eV/f.u.

Cell lengths 7.472, 7.472, 7.542 Å; angles 99.49, 99.49, 120.00 degrees
Fractional coordinates of all 12 atoms:
Li 0.000 0.000 0.000
Li 0.334 0.666 0.000
Li 0.666 0.334 0.000
Er 0.500 0.500 0.500
U 0.167 0.833 0.500
U 0.833 0.167 0.500
Te 0.085 0.414 0.241
Te 0.257 0.257 0.758
Te 0.414 0.085 0.241
Te 0.586 0.915 0.759
Te 0.743 0.743 0.242
Te 0.915 0.586 0.759

=====

(6)
A plane-wave DFT calculation with GGA-PBE was carried out for a geometry-optimized TlFe4Ru structure.

Computed properties:
ΔH_f (0 K) ... 0.307 eV/atom
SG ... F-43m (216)
Total DFT energy (no corrections) ... -7.275 eV per atom
DOS(E_F) ... 4.2 states/eV/f.u.

Cell lengths 4.891, 4.891, 4.891 Å; angles 60.00, 60.00, 60.00 degrees
Fractional coordinates of all 6 atoms:
Tl 0.000 0.000 0.000
Fe 0.125 0.625 0.625
Fe 0.625 0.125 0.625
Fe 0.625 0.625 0.125
Fe 0.625 0.625 0.625
Ru 0.250 0.250 0.250

=====

(7)
A plane-wave DFT calculation with GGA-PBE was carried out for a geometry-optimized Pm6Nd2Al structure.

Computed properties:
ΔH_f (0 K) ... 0.074 eV/atom
SG ... C2/m (12)
Total DFT energy (no corrections) ... -4.568 eV per atom
DOS(E_F) ... 13.0 states/eV/f.u.

Cell lengths 10.035, 10.035, 3.588 Å; angles 94.01, 94.01, 57.16 degrees
Fractional coordinates of all 9 atoms:
Pm 0.168 0.506 0.525
Pm 0.219 0.781 0.000
Pm 0.494 0.832 0.475
Pm 0.506 0.168 0.525
Pm 0.781 0.219 0.000
Pm 0.832 0.494 0.475
Nd 0.174 0.174 0.945
Nd 0.826 0.826 0.055
Al 0.500 0.500 0.500

=====

(8)
A plane-wave DFT calculation with GGA-PBE was carried out for a geometry-optimized CaAcLaY structure.

Computed properties:
ΔH_f (0 K) ... 0.060 eV/atom
SG ... P3m1 (156)
Total DFT energy (no corrections) ... -4.315 eV per atom
DOS(E_F) ... 6.6 states/eV/f.u.
Offset from the most stable computed form ... 0.00 kcal/mol of atoms

Cell lengths 3.802, 3.802, 12.434 Å; angles 90.00, 90.00, 120.00 degrees
Fractional coordinates of all 4 atoms:
Ca 0.000 0.000 0.000
Ac 0.667 0.333 0.733
La 0.333 0.667 0.479
Y 0.667 0.333 0.245